Material: Hg4Se2Cl5
Method: DFT, GGA-PBE
State: relaxed

```
Hg4Se2Cl5
1.0
9.036 -2.358 0.000
9.036 2.358 0.000
-3.031 0.000 7.997
Hg Se Cl
4 2 5
direct
0.029 0.029 0.344 Hg
0.328 0.328 0.920 Hg
0.672 0.672 0.080 Hg
0.971 0.971 0.656 Hg
0.473 0.473 0.109 Se
0.527 0.527 0.891 Se
0.161 0.161 0.294 Cl
0.186 0.186 0.810 Cl
0.500 0.500 0.500 Cl
0.814 0.814 0.190 Cl
0.839 0.839 0.706 Cl
```

Values from the calculation:
**Density of states at the Fermi level**: 2.42 states/eV/f.u.
**E_form (uncorrected)**: -0.365 eV per atom
**Crystal system**: monoclinic
**Space-group type**: No. 12
**Total moment**: 0.0 μB/f.u.

---

Material: HgSe2Cl
Method: DFT, GGA-PBE
State: relaxed

```
HgSe2Cl
1.0
-1.893 1.943 7.276
1.893 -1.943 7.276
1.893 1.943 -7.276
Hg Se Cl
1 2 1
direct
0.000 0.000 0.000 Hg
0.239 0.739 0.500 Se
0.761 0.261 0.500 Se
0.500 0.500 0.000 Cl
```

Values from the calculation:
**Density of states at the Fermi level**: 1.82 states/eV/f.u.
**E_form (uncorrected)**: 0.021 eV per atom
**Crystal system**: orthorhombic
**Space-group type**: No. 71
**Total moment**: 0.0 μB/f.u.

---

Material: Hg2SeCl
Method: DFT, GGA-PBE
State: relaxed

```
Hg2SeCl
1.0
2.082 1.202 7.089
-2.082 1.202 7.089
0.000 -2.404 7.089
Hg Se Cl
2 1 1
direct
0.000 0.000 0.000 Hg
0.187 0.187 0.187 Hg
0.596 0.596 0.596 Se
0.417 0.417 0.417 Cl
```

Values from the calculation:
**Density of states at the Fermi level**: 1.49 states/eV/f.u.
**E_form (uncorrected)**: -0.157 eV per atom
**Crystal system**: trigonal
**Space-group type**: No. 160
**Total moment**: 0.0 μB/f.u.

---

Material: HgSe2Cl
Method: DFT, GGA-PBE
State: relaxed

```
HgSe2Cl
1.0
1.827 -3.692 0.000
1.827 3.692 0.000
0.000 0.000 8.433
Hg Se Cl
1 2 1
direct
0.000 0.000 0.000 Hg
0.000 0.000 0.531 Se
0.500 0.500 0.730 Se
0.500 0.500 0.237 Cl
```

Values from the calculation:
**Density of states at the Fermi level**: 2.84 states/eV/f.u.
**E_form (uncorrected)**: 0.008 eV per atom
**Crystal system**: orthorhombic
**Space-group type**: No. 35
**Total moment**: 0.0 μB/f.u.